Below is an optimized crystal structure of KCrGa2O6, with properties calculated at the GGA+U level.

Unit cell a=7.3553 b=7.3553 c=6.1999 alpha=104.08 beta=104.08 gamma=104.65
Element x y z (fractional)
K: 0.1019 0.8981 0.7500
K: 0.8981 0.1019 0.2500
Cr: 0.2001 0.7999 0.2500
Cr: 0.7999 0.2001 0.7500
Ga: 0.2994 0.4493 0.8476
Ga: 0.4493 0.2994 0.3476
Ga: 0.5507 0.7006 0.6524
Ga: 0.7006 0.5507 0.1524
O: 0.0373 0.2471 0.7258
O: 0.1909 0.6468 0.9877
O: 0.2471 0.0373 0.2258
O: 0.3286 0.4306 0.5444
O: 0.3532 0.8091 0.5123
O: 0.4306 0.3286 0.0445
O: 0.5694 0.6714 0.9556
O: 0.6468 0.1909 0.4877
O: 0.6714 0.5694 0.4556
O: 0.7529 0.9627 0.7742
O: 0.8091 0.3532 0.0123
O: 0.9627 0.7529 0.2742

Properties
Calculated total energy in eV/f.u.: -60.75
Calculated volume in Å³ per cell: 298
Crystal system: monoclinic
SG: No. 15